# 1
Compound: AcPd2Pb3
Source: the Alexandria database
Functional: PBE
Structure: optimized geometry

ΔE to the lowest computed polymorph	0.000	eV per atom
calculated formation energy	-0.402	eV per atom

Lattice parameters (Å, degrees): 18.7866 4.6723 11.4522 90.00 108.42 90.00
Last column: nearest neighbours and their distance in Å.
Space group C2/m (No. 12)
Unique sites:
Ac 0.0000 0.0000 0.0000 [2 per cell]  6 Pd 3.37-3.51, 6 Pb 3.59-3.69
Ac 0.1634 0.0000 0.7017 [4 per cell]  4 Pd 3.47-3.62, 6 Pb 3.61-3.71
Pd 0.0236 0.5000 0.8037 [4 per cell]  4 Pb 2.77-2.86
Pd 0.1392 0.5000 0.4681 [4 per cell]  5 Pb 2.75-3.06
Pd 0.1967 0.0000 0.1206 [4 per cell]  6 Pb 2.82-2.98
Pb 0.0000 0.5000 0.5000 [2 per cell]  2 Pd 2.75
Pb 0.0348 0.0000 0.3358 [4 per cell]  4 Pd 2.85-3.12
Pb 0.1285 0.5000 0.1957 [4 per cell]  4 Pd 2.86-3.06, 1 Pb 3.17
Pb 0.1726 0.5000 0.9505 [4 per cell]  4 Pd 2.77-2.98
Pb 0.2118 0.0000 0.3855 [4 per cell]  4 Pd 2.77-3.01

=====

# 2
Compound: Ac5PdPb4
Source: the Alexandria database
Functional: PBE
Structure: optimized geometry

calculated formation energy	-0.434	eV per atom

Lattice parameters (Å, degrees): 10.6361 10.6361 6.8267 90.00 90.00 90.00
Last column: nearest neighbours and their distance in Å.
Space group I4/m (No. 87)
Unique sites:
Ac 0.0000 0.0000 0.0000 [2 per cell]  4 Pb 3.40, 2 Pd 3.41
Ac 0.0968 0.2759 0.5000 [8 per cell]  1 Pd 3.11, 4 Pb 3.41-3.45
Pd 0.0000 0.0000 0.5000 [2 per cell]  6 Ac 3.11-3.41
Pb 0.0855 0.3076 0.0000 [8 per cell]  6 Ac 3.40-3.49

=====

# 3
Compound: AcPd3Pb2
Source: the Alexandria database
Functional: PBE
Structure: optimized geometry

ΔE to the lowest computed polymorph	0.000	eV per atom
calculated formation energy	-0.469	eV per atom

Lattice parameters (Å, degrees): 11.0612 8.1479 6.4256 90.00 90.00 90.00
Last column: nearest neighbours and their distance in Å.
Space group Cmcm (No. 63)
Unique sites:
Ac 0.0000 0.1711 0.2500 [4 per cell]  3 Pd 2.96-3.20
Pd 0.0000 0.4657 0.7500 [4 per cell]  2 Pd 2.73, 4 Pb 2.85, 1 Ac 2.96
Pd 0.1287 0.1802 0.7500 [8 per cell]  2 Pd 2.73-2.85, 2 Pb 2.80
Pb 0.2115 0.5000 0.0000 [8 per cell]  4 Pd 2.80-2.85

=====

# 4
Compound: Ac3Pd4Pb4
Source: the Alexandria database
Functional: PBE
Structure: optimized geometry

calculated formation energy	-0.597	eV per atom

Lattice parameters (Å, degrees): 4.5324 8.0699 16.0471 90.00 90.00 90.00
Last column: nearest neighbours and their distance in Å.
Space group Immm (No. 71)
Unique sites:
Ac 0.0000 0.0000 0.0000 [2 per cell]  6 Pd 3.40-3.49
Ac 0.0000 0.5000 0.1203 [4 per cell]  6 Pd 3.33-3.45, 6 Pb 3.42-3.73
Pd 0.0000 0.0000 0.2173 [4 per cell]  6 Pb 2.88-3.04
Pd 0.0000 0.1859 0.5000 [4 per cell]  2 Pb 2.88, 1 Pd 3.00
Pb 0.0000 0.3021 0.3305 [8 per cell]  4 Pd 2.88-3.04, 1 Pb 3.19